1.
Here is crystalline Co3P4O16 at its relaxed geometry from Alexandria. Energies are from GGA-PBEsol.

Values from the calculation:
Raw formation energy (kJ/mol of atoms): -145.51
Total moment (μB/f.u.): 7.0
Space-group type: No. 14
Total DFT energy (no corrections) (Ry per atom): -0.5274

```
data_Co3P4O16
_chemical_formula_sum 'Co6 P8 O32'
_space_group_name_H-M_alt 'P 1'
_space_group_IT_number 1
_cell_length_a 4.7033
_cell_length_b 7.5017
_cell_length_c 14.7348
_cell_angle_alpha 98.86
_cell_angle_beta 90.00
_cell_angle_gamma 90.00
loop_
_space_group_symop_operation_xyz
'x,y,z'
loop_
_atom_site_label
_atom_site_fract_x
_atom_site_fract_y
_atom_site_fract_z
Co1 0.3206 0.5493 0.7049
Co2 0.0000 0.0000 0.5000
Co3 0.1793 0.0493 0.2049
Co4 0.6794 0.4507 0.2951
Co5 0.5000 0.5000 0.0000
Co6 0.8207 0.9507 0.7951
O1 0.5004 0.3254 0.6867
O2 0.4996 0.6746 0.3133
O3 0.3235 0.8875 0.4498
O4 0.0004 0.1746 0.8133
O5 0.4531 0.0102 0.1094
O6 0.9996 0.8254 0.1867
O7 0.0469 0.5102 0.6094
O8 0.5473 0.6406 0.6211
O9 0.3958 0.7190 0.9667
O10 0.5764 0.0036 0.7065
O11 0.1814 0.0741 0.6109
O12 0.9527 0.1406 0.1211
O13 0.4953 0.2950 0.2059
O14 0.0764 0.4964 0.7935
O15 0.0047 0.7950 0.7058
O16 0.6042 0.2810 0.0333
O17 0.9236 0.5036 0.2065
O18 0.9953 0.2050 0.2942
O19 0.8958 0.7811 0.5333
O20 0.1042 0.2189 0.4667
O21 0.9531 0.4898 0.3906
O22 0.5469 0.9898 0.8906
O23 0.0473 0.8594 0.8789
O24 0.8235 0.6125 0.0502
O25 0.5047 0.7050 0.7941
O26 0.3186 0.5741 0.1109
O27 0.1765 0.3875 0.9498
O28 0.4527 0.3594 0.3789
O29 0.4236 0.9964 0.2935
O30 0.8186 0.9259 0.3891
O31 0.6765 0.1125 0.5502
O32 0.6814 0.4259 0.8891
P1 0.8664 0.6848 0.6165
P2 0.4908 0.1289 0.6372
P3 0.3664 0.8151 0.8835
P4 0.5092 0.8711 0.3628
P5 0.1336 0.3152 0.3835
P6 0.6336 0.1849 0.1165
P7 0.9908 0.3711 0.8628
P8 0.0092 0.6289 0.1372
```


2.
Here is crystalline CoPO4 at its relaxed geometry from Alexandria. Energies are from GGA-PBEsol.

Values from the calculation:
Raw formation energy (kJ/mol of atoms): -151.46
Total moment (μB/f.u.): 3.5
Space-group type: No. 63
Total DFT energy (no corrections) (Ry per atom): -0.5383

```
data_CoPO4
_chemical_formula_sum 'Co2 P2 O8'
_space_group_name_H-M_alt 'P 1'
_space_group_IT_number 1
_cell_length_a 4.6395
_cell_length_b 4.6395
_cell_length_c 6.2973
_cell_angle_alpha 90.00
_cell_angle_beta 90.00
_cell_angle_gamma 111.55
loop_
_space_group_symop_operation_xyz
'x,y,z'
loop_
_atom_site_label
_atom_site_fract_x
_atom_site_fract_y
_atom_site_fract_z
O1 0.7630 0.2370 0.9523
O2 0.2370 0.7630 0.0477
O3 0.2193 0.2898 0.2500
O4 0.2370 0.7630 0.4523
O5 0.7630 0.2370 0.5477
O6 0.7102 0.7807 0.2500
O7 0.2898 0.2193 0.7500
O8 0.7807 0.7102 0.7500
P1 0.3494 0.6506 0.2500
P2 0.6506 0.3494 0.7500
Co1 0.0000 0.0000 0.5000
Co2 0.0000 0.0000 0.0000
```


3.
Here is crystalline CoP2O7 at its relaxed geometry from Alexandria. Energies are from GGA-PBEsol.

Values from the calculation:
Raw formation energy (kJ/mol of atoms): -159.76
Total moment (μB/f.u.): 1.0
Distance to the lowest polymorph of the same formula (eV/atom): 0.018
Space-group type: No. 5
Total DFT energy (no corrections) (Ry per atom): -0.5338

```
data_CoP2O7
_chemical_formula_sum 'Co1 P2 O7'
_space_group_name_H-M_alt 'P 1'
_space_group_IT_number 1
_cell_length_a 4.3552
_cell_length_b 4.9446
_cell_length_c 4.9446
_cell_angle_alpha 100.19
_cell_angle_beta 98.50
_cell_angle_gamma 98.50
loop_
_space_group_symop_operation_xyz
'x,y,z'
loop_
_atom_site_label
_atom_site_fract_x
_atom_site_fract_y
_atom_site_fract_z
O1 0.2212 0.9982 0.7584
O2 0.6787 0.7159 0.8071
O3 0.7788 0.2416 0.0018
O4 0.3213 0.1929 0.2841
O5 0.2272 0.6250 0.0796
O6 0.7728 0.9204 0.3750
O7 0.0000 0.5025 0.4975
Co1 0.5000 0.9461 0.0539
P1 0.9088 0.7972 0.6146
P2 0.0912 0.3854 0.2028
```


4.
Here is crystalline CoP4O12 at its relaxed geometry from Alexandria. Energies are from GGA-PBEsol.

Values from the calculation:
Raw formation energy (kJ/mol of atoms): -173.18
Total moment (μB/f.u.): 1.0
Distance to the lowest polymorph of the same formula (eV/atom): 0.001
Space-group type: No. 60
Total DFT energy (no corrections) (Ry per atom): -0.5379

```
data_CoP4O12
_chemical_formula_sum 'Co4 P16 O48'
_space_group_name_H-M_alt 'P 1'
_space_group_IT_number 1
_cell_length_a 8.5131
_cell_length_b 8.6128
_cell_length_c 12.3308
_cell_angle_alpha 90.00
_cell_angle_beta 90.00
_cell_angle_gamma 90.00
loop_
_space_group_symop_operation_xyz
'x,y,z'
loop_
_atom_site_label
_atom_site_fract_x
_atom_site_fract_y
_atom_site_fract_z
O1 0.1368 0.3710 0.3750
O2 0.7892 0.3732 0.9440
O3 0.8759 0.4049 0.7502
O4 0.5317 0.6325 0.0583
O5 0.7892 0.1268 0.0560
O6 0.3759 0.4049 0.7498
O7 0.3719 0.4698 0.1918
O8 0.4683 0.1325 0.0583
O9 0.9683 0.1325 0.4417
O10 0.6368 0.3710 0.1250
O11 0.3632 0.8710 0.1250
O12 0.1281 0.5302 0.6918
O13 0.7108 0.8732 0.5560
O14 0.3632 0.6290 0.8750
O15 0.8632 0.8710 0.3750
O16 0.8759 0.0951 0.2498
O17 0.8632 0.6290 0.6250
O18 0.1281 0.9698 0.3082
O19 0.2892 0.1268 0.4440
O20 0.6281 0.5302 0.8082
O21 0.1099 0.1387 0.8787
O22 0.5317 0.8675 0.9417
O23 0.2892 0.3732 0.5560
O24 0.6241 0.9049 0.7498
O25 0.0317 0.8675 0.5583
O26 0.0317 0.6325 0.4417
O27 0.3901 0.8613 0.3787
O28 0.8719 0.4698 0.3082
O29 0.2108 0.6268 0.0560
O30 0.3901 0.6387 0.6213
O31 0.1368 0.1290 0.6250
O32 0.9683 0.3675 0.5583
O33 0.6241 0.5951 0.2502
O34 0.6368 0.1290 0.8750
O35 0.6099 0.1387 0.6213
O36 0.8901 0.6387 0.8787
O37 0.6281 0.9698 0.1918
O38 0.2108 0.8732 0.9440
O39 0.7108 0.6268 0.4440
O40 0.1241 0.5951 0.2498
O41 0.1099 0.3613 0.1213
O42 0.1241 0.9049 0.7502
O43 0.8901 0.8613 0.1213
O44 0.3719 0.0302 0.8082
O45 0.8719 0.0302 0.6918
O46 0.3759 0.0951 0.2502
O47 0.6099 0.3613 0.3787
O48 0.4683 0.3675 0.9417
P1 0.5406 0.9846 0.8497
P2 0.6971 0.9960 0.6449
P3 0.4594 0.4846 0.8497
P4 0.3029 0.0040 0.3551
P5 0.0406 0.5154 0.3497
P6 0.1971 0.9960 0.8551
P7 0.4594 0.0154 0.1503
P8 0.3029 0.4960 0.6449
P9 0.6971 0.5040 0.3551
P10 0.1971 0.5040 0.1449
P11 0.9594 0.0154 0.3497
P12 0.0406 0.9846 0.6503
P13 0.5406 0.5154 0.1503
P14 0.8029 0.0040 0.1449
P15 0.9594 0.4846 0.6503
P16 0.8029 0.4960 0.8551
Co1 0.1322 0.2500 0.5000
Co2 0.6322 0.2500 0.0000
Co3 0.3678 0.7500 0.0000
Co4 0.8678 0.7500 0.5000
```


5.
Here is crystalline Co3P4O14 at its relaxed geometry from Alexandria. Energies are from GGA-PBEsol.

Values from the calculation:
Raw formation energy (kJ/mol of atoms): -158.63
Total moment (μB/f.u.): 9.0
Space-group type: No. 2
Total DFT energy (no corrections) (Ry per atom): -0.5404

```
data_Co3P4O14
_chemical_formula_sum 'Co3 P4 O14'
_space_group_name_H-M_alt 'P 1'
_space_group_IT_number 1
_cell_length_a 5.8636
_cell_length_b 6.6700
_cell_length_c 7.7965
_cell_angle_alpha 83.89
_cell_angle_beta 70.34
_cell_angle_gamma 79.39
loop_
_space_group_symop_operation_xyz
'x,y,z'
loop_
_atom_site_label
_atom_site_fract_x
_atom_site_fract_y
_atom_site_fract_z
O1 0.9312 0.1210 0.2155
O2 0.6276 0.3015 0.7789
O3 0.2498 0.1388 0.8817
O4 0.7502 0.8612 0.1183
O5 0.7912 0.4790 0.1266
O6 0.0848 0.5978 0.5895
O7 0.5154 0.3144 0.4098
O8 0.9152 0.4022 0.4105
O9 0.2088 0.5210 0.8734
O10 0.0688 0.8790 0.7845
O11 0.4846 0.6856 0.5902
O12 0.6410 0.6859 0.8867
O13 0.3590 0.3141 0.1133
O14 0.3724 0.6985 0.2211
Co1 0.0000 0.0000 0.0000
Co2 0.2488 0.4613 0.3381
Co3 0.7512 0.5387 0.6619
P1 0.7820 0.3203 0.2961
P2 0.3683 0.3102 0.9184
P3 0.2180 0.6797 0.7039
P4 0.6317 0.6898 0.0816
```


6.
Here is crystalline Co2PO5 at its relaxed geometry from Alexandria. Energies are from GGA-PBEsol.

Values from the calculation:
Raw formation energy (kJ/mol of atoms): -135.80
Total moment (μB/f.u.): 4.2
Space-group type: No. 141
Total DFT energy (no corrections) (Ry per atom): -0.5400

```
data_Co2PO5
_chemical_formula_sum 'Co4 P2 O10'
_space_group_name_H-M_alt 'P 1'
_space_group_IT_number 1
_cell_length_a 5.2686
_cell_length_b 5.2686
_cell_length_c 6.9806
_cell_angle_alpha 112.17
_cell_angle_beta 112.17
_cell_angle_gamma 90.00
loop_
_space_group_symop_operation_xyz
'x,y,z'
loop_
_atom_site_label
_atom_site_fract_x
_atom_site_fract_y
_atom_site_fract_z
O1 0.3159 0.0699 0.1398
O2 0.9341 0.6801 0.3602
O3 0.3199 0.5739 0.6398
O4 0.9301 0.1761 0.8602
O5 0.5000 0.5000 0.0000
O6 0.7500 0.2500 0.5000
O7 0.3199 0.0659 0.6398
O8 0.4261 0.6801 0.3602
O9 0.8239 0.0699 0.1398
O10 0.9301 0.6841 0.8602
Co1 0.1250 0.3750 0.7500
Co2 0.6250 0.3750 0.2500
Co3 0.6250 0.3750 0.7500
Co4 0.6250 0.8750 0.2500
P1 0.0000 0.0000 0.0000
P2 0.2500 0.7500 0.5000
```


7.
Here is crystalline CoP4O12 at its relaxed geometry from Alexandria. Energies are from GGA-PBEsol.

Values from the calculation:
Raw formation energy (kJ/mol of atoms): -173.26
Total moment (μB/f.u.): 1.0
Distance to the lowest polymorph of the same formula (eV/atom): 0.000
Space-group type: No. 4
Total DFT energy (no corrections) (Ry per atom): -0.5379

```
data_CoP4O12
_chemical_formula_sum 'Co2 P8 O24'
_space_group_name_H-M_alt 'P 1'
_space_group_IT_number 1
_cell_length_a 4.9762
_cell_length_b 7.3054
_cell_length_c 13.1008
_cell_angle_alpha 90.00
_cell_angle_beta 90.00
_cell_angle_gamma 102.23
loop_
_space_group_symop_operation_xyz
'x,y,z'
loop_
_atom_site_label
_atom_site_fract_x
_atom_site_fract_y
_atom_site_fract_z
O1 0.3116 0.5047 0.8920
O2 0.6282 0.7595 0.7821
O3 0.6202 0.7474 0.2605
O4 0.2124 0.5637 0.6944
O5 0.9506 0.2316 0.6522
O6 0.0494 0.7684 0.1522
O7 0.2994 0.4958 0.1464
O8 0.7876 0.4363 0.1944
O9 0.3718 0.2405 0.2821
O10 0.0546 0.4821 0.5176
O11 0.0637 0.7765 0.8885
O12 0.1967 0.5526 0.3387
O13 0.3675 0.1200 0.5777
O14 0.7006 0.5042 0.6464
O15 0.6325 0.8800 0.0777
O16 0.3798 0.2526 0.7605
O17 0.9454 0.5179 0.0176
O18 0.9363 0.2235 0.3885
O19 0.0780 0.9431 0.7217
O20 0.8452 0.0636 0.8761
O21 0.8033 0.4474 0.8387
O22 0.1548 0.9364 0.3761
O23 0.9220 0.0569 0.2217
O24 0.6884 0.4953 0.3920
P1 0.1156 0.1043 0.3223
P2 0.8844 0.8957 0.8223
P3 0.0238 0.5515 0.1342
P4 0.2172 0.1381 0.6724
P5 0.9762 0.4485 0.6342
P6 0.9655 0.4418 0.4024
P7 0.7828 0.8619 0.1724
P8 0.0345 0.5582 0.9024
Co1 0.4933 0.4951 0.2689
Co2 0.5067 0.5049 0.7689
```


8.
Here is crystalline CoP4O12 at its relaxed geometry from Alexandria. Energies are from GGA-PBEsol.

Values from the calculation:
Raw formation energy (kJ/mol of atoms): -172.31
Total moment (μB/f.u.): 1.0
Distance to the lowest polymorph of the same formula (eV/atom): 0.010
Space-group type: No. 12
Total DFT energy (no corrections) (Ry per atom): -0.5372

```
data_CoP4O12
_chemical_formula_sum 'Co2 P8 O24'
_space_group_name_H-M_alt 'P 1'
_space_group_IT_number 1
_cell_length_a 5.0086
_cell_length_b 10.3942
_cell_length_c 10.3942
_cell_angle_alpha 73.31
_cell_angle_beta 79.96
_cell_angle_gamma 79.96
loop_
_space_group_symop_operation_xyz
'x,y,z'
loop_
_atom_site_label
_atom_site_fract_x
_atom_site_fract_y
_atom_site_fract_z
O1 0.0420 0.4070 0.8723
O2 0.3964 0.8198 0.8198
O3 0.2971 0.5531 0.3025
O4 0.3177 0.5733 0.9060
O5 0.6823 0.0940 0.4267
O6 0.2149 0.3532 0.1048
O7 0.0000 0.2157 0.7843
O8 0.6036 0.1802 0.1802
O9 0.0000 0.7843 0.2157
O10 0.7851 0.6468 0.8952
O11 0.6206 0.2853 0.9384
O12 0.3794 0.0616 0.7147
O13 0.3794 0.7147 0.0616
O14 0.7851 0.8952 0.6468
O15 0.0420 0.8723 0.4070
O16 0.2971 0.3025 0.5531
O17 0.2149 0.1048 0.3532
O18 0.9580 0.1277 0.5930
O19 0.9580 0.5930 0.1277
O20 0.6823 0.4267 0.0940
O21 0.7029 0.4469 0.6975
O22 0.7029 0.6975 0.4469
O23 0.3177 0.9060 0.5733
O24 0.6206 0.9384 0.2853
P1 0.8358 0.8104 0.3554
P2 0.4761 0.6776 0.9224
P3 0.8358 0.3554 0.8104
P4 0.4761 0.9224 0.6776
P5 0.5239 0.0776 0.3224
P6 0.1642 0.6446 0.1896
P7 0.5239 0.3224 0.0776
P8 0.1642 0.1896 0.6446
Co1 0.0000 0.0000 0.5000
Co2 0.0000 0.5000 0.0000
```


9.
Here is crystalline Co2P5O16 at its relaxed geometry from Alexandria. Energies are from GGA-PBEsol.

Values from the calculation:
Raw formation energy (kJ/mol of atoms): -174.44
Total moment (μB/f.u.): 1.1
Space-group type: No. 13
Total DFT energy (no corrections) (Ry per atom): -0.5433

```
data_Co2P5O16
_chemical_formula_sum 'Co4 P10 O32'
_space_group_name_H-M_alt 'P 1'
_space_group_IT_number 1
_cell_length_a 4.8138
_cell_length_b 6.5497
_cell_length_c 18.3288
_cell_angle_alpha 90.00
_cell_angle_beta 91.75
_cell_angle_gamma 90.00
loop_
_space_group_symop_operation_xyz
'x,y,z'
loop_
_atom_site_label
_atom_site_fract_x
_atom_site_fract_y
_atom_site_fract_z
O1 0.4204 0.4157 0.8818
O2 0.0606 0.0601 0.4325
O3 0.7894 0.4018 0.7866
O4 0.9283 0.6631 0.4215
O5 0.7701 0.3147 0.3697
O6 0.3543 0.7830 0.5030
O7 0.0606 0.9399 0.9325
O8 0.4354 0.9736 0.1129
O9 0.5646 0.0264 0.8871
O10 0.8530 0.1209 0.6925
O11 0.1470 0.8791 0.3075
O12 0.9394 0.9399 0.5675
O13 0.4204 0.5843 0.3818
O14 0.3543 0.2170 0.0030
O15 0.6457 0.2170 0.4970
O16 0.6457 0.7830 0.9970
O17 0.2299 0.3147 0.1303
O18 0.4354 0.0264 0.6129
O19 0.2106 0.5982 0.2134
O20 0.2106 0.4018 0.7134
O21 0.7894 0.5982 0.2866
O22 0.2299 0.6853 0.6303
O23 0.0717 0.6631 0.0785
O24 0.5796 0.4157 0.6182
O25 0.0717 0.3369 0.5785
O26 0.9283 0.3369 0.9215
O27 0.5646 0.9736 0.3871
O28 0.1470 0.1209 0.8075
O29 0.7701 0.6853 0.8697
O30 0.5796 0.5843 0.1182
O31 0.8530 0.8791 0.1925
O32 0.9394 0.0601 0.0675
P1 0.0000 0.7522 0.2500
P2 0.7551 0.1258 0.4268
P3 0.2449 0.1258 0.0732
P4 0.7275 0.5526 0.3705
P5 0.7551 0.8742 0.9268
P6 0.2725 0.5526 0.1295
P7 0.2725 0.4474 0.6295
P8 0.0000 0.2478 0.7500
P9 0.7275 0.4474 0.8705
P10 0.2449 0.8742 0.5732
Co1 0.2426 0.8268 0.4064
Co2 0.2426 0.1732 0.9064
Co3 0.7574 0.1732 0.5936
Co4 0.7574 0.8268 0.0936
```


10.
Here is crystalline CoP2PbO7 at its relaxed geometry from Alexandria. Energies are from GGA-PBEsol.

Values from the calculation:
Raw formation energy (kJ/mol of atoms): -174.53
Total moment (μB/f.u.): 3.0
Space-group type: No. 14
Total DFT energy (no corrections) (Ry per atom): -0.5343

```
data_CoP2PbO7
_chemical_formula_sum 'Co4 P8 Pb4 O28'
_space_group_name_H-M_alt 'P 1'
_space_group_IT_number 1
_cell_length_a 5.3338
_cell_length_b 8.2274
_cell_length_c 12.8056
_cell_angle_alpha 90.00
_cell_angle_beta 89.55
_cell_angle_gamma 90.00
loop_
_space_group_symop_operation_xyz
'x,y,z'
loop_
_atom_site_label
_atom_site_fract_x
_atom_site_fract_y
_atom_site_fract_z
O1 0.7238 0.1133 0.0510
O2 0.4810 0.5580 0.2999
O3 0.3040 0.1853 0.4102
O4 0.3994 0.3335 0.0221
O5 0.3253 0.1443 0.8473
O6 0.6960 0.8147 0.5898
O7 0.1747 0.6443 0.6527
O8 0.7762 0.6133 0.4490
O9 0.5190 0.4420 0.7001
O10 0.0190 0.0580 0.2001
O11 0.6779 0.9040 0.3990
O12 0.1960 0.6853 0.0898
O13 0.9420 0.6186 0.2622
O14 0.5580 0.1186 0.2378
O15 0.2238 0.3867 0.5510
O16 0.2762 0.8867 0.9490
O17 0.0580 0.3814 0.7378
O18 0.1006 0.8335 0.4779
O19 0.1779 0.5960 0.8990
O20 0.6747 0.8557 0.1527
O21 0.8994 0.1665 0.5221
O22 0.9810 0.9420 0.7999
O23 0.8040 0.3147 0.9102
O24 0.3221 0.0960 0.6010
O25 0.8221 0.4040 0.1010
O26 0.8253 0.3557 0.3473
O27 0.6006 0.6665 0.9779
O28 0.4420 0.8814 0.7622
Pb1 0.7890 0.6709 0.7790
Pb2 0.2890 0.8291 0.2790
Pb3 0.7110 0.1709 0.7210
Pb4 0.2110 0.3291 0.2210
P1 0.2509 0.9660 0.8347
P2 0.7491 0.0340 0.1653
P3 0.1824 0.1987 0.5188
P4 0.3176 0.6987 0.9812
P5 0.8176 0.8013 0.4812
P6 0.2491 0.4660 0.6653
P7 0.6824 0.3013 0.0188
P8 0.7509 0.5340 0.3347
Co1 0.6770 0.1477 0.3951
Co2 0.8230 0.6477 0.1049
Co3 0.3230 0.8523 0.6049
Co4 0.1770 0.3523 0.8951
```


> Look up the total moment of the third one.

1.0 μB/f.u.